[1]
First-principles (PBE-GGA) data for a relaxed Pm7Y2Tm2 crystal, as listed in Alexandria.

Geometry as extended XYZ:
```
11
Lattice="-2.823 8.055 4.080 2.823 -8.055 4.080 2.823 8.055 -4.080" Properties=species:S:1:pos:R:3 pbc="T T T"
Pm 0.000 0.000 0.000
Pm 2.823 5.423 -1.659
Pm 2.823 2.154 0.012
Pm 0.000 2.631 2.421
Pm 0.000 5.934 0.773
Pm 0.000 10.175 0.773
Pm 0.000 5.901 4.093
Y 0.000 3.248 6.511
Y 2.823 4.806 2.431
Tm 2.823 0.000 2.433
Tm 0.000 0.000 4.751
```

Symmetry   Imm2 (44)
Formation enthalpy at 0 K   0.11 eV per atom
Excess energy over the best structure of this formula in the dataset   0.000 eV per atom
V   371.0 Å³/f.u.

---

[2]
First-principles (PBE-GGA) data for a relaxed LaPr5Ho2 crystal, as listed in Alexandria.

Geometry as extended XYZ:
```
16
Lattice="7.341 0.000 0.000 0.000 14.685 0.000 0.000 0.000 5.181" Properties=species:S:1:pos:R:3 pbc="T T T"
La 0.000 0.000 0.000
La 3.671 7.342 0.000
Pr 0.000 7.342 0.000
Pr 0.013 3.681 0.000
Pr 1.829 9.182 2.590
Pr 1.842 1.840 2.590
Pr 3.658 11.023 0.000
Pr 3.671 0.000 0.000
Pr 3.684 3.661 0.000
Pr 5.499 12.845 2.590
Pr 5.513 5.503 2.590
Pr 7.328 11.004 0.000
Ho 1.828 12.842 2.590
Ho 1.842 5.500 2.590
Ho 5.499 9.185 2.590
Ho 5.513 1.843 2.590
```

Symmetry   Pbam (55)
Formation enthalpy at 0 K   0.01 eV per atom
Excess energy over the best structure of this formula in the dataset   0.000 eV per atom
V   279.3 Å³/f.u.

---

[3]
First-principles (PBE-GGA) data for a relaxed NiB4 crystal, as listed in Alexandria.

Geometry as extended XYZ:
```
5
Lattice="2.857 0.000 0.000 -1.423 3.246 0.000 -0.014 -1.804 4.050" Properties=species:S:1:pos:R:3 pbc="T T T"
Ni 0.000 0.000 0.000
B -0.004 0.083 3.388
B -0.002 1.085 1.883
B 1.425 1.356 0.663
B 1.427 2.214 2.059
```

Symmetry   P1 (1)
Formation enthalpy at 0 K   0.10 eV per atom
V   37.6 Å³/f.u.

---

[4]
First-principles (PBE-GGA) data for a relaxed SrIr2Rh crystal, as listed in Alexandria.

Geometry as extended XYZ:
```
4
Lattice="-1.434 2.474 5.136 1.434 -2.474 5.136 1.434 2.474 -5.136" Properties=species:S:1:pos:R:3 pbc="T T T"
Sr 0.000 0.000 0.000
Ir 1.434 0.000 2.897
Ir 0.000 0.000 5.114
Rh 0.000 2.474 2.265
```

Symmetry   Imm2 (44)
Formation enthalpy at 0 K   0.33 eV per atom
Excess energy over the best structure of this formula in the dataset   0.134 eV per atom
V   72.9 Å³/f.u.

---

[5]
First-principles (PBE-GGA) data for a relaxed CrHgGe crystal, as listed in Alexandria.

Geometry as extended XYZ:
```
6
Lattice="3.591 -2.176 0.000 3.591 2.176 0.000 -2.180 0.000 7.023" Properties=species:S:1:pos:R:3 pbc="T T T"
Cr 0.030 0.000 3.101
Cr 4.972 0.000 3.922
Hg 0.289 0.000 5.758
Hg 4.712 0.000 1.265
Ge 0.000 0.000 0.000
Ge 2.501 0.000 3.511
```

Symmetry   C2/m (12)
Formation enthalpy at 0 K   0.37 eV per atom
Excess energy over the best structure of this formula in the dataset   0.189 eV per atom
V   54.9 Å³/f.u.

---

[6]
First-principles (PBE-GGA) data for a relaxed Pr2Zr2Sb2H crystal, as listed in Alexandria.

Geometry as extended XYZ:
```
7
Lattice="-2.199 2.199 8.521 2.199 -2.199 8.521 2.199 2.199 -8.521" Properties=species:S:1:pos:R:3 pbc="T T T"
Pr 0.000 0.000 3.020
Pr 0.000 0.000 14.022
Zr 2.199 0.000 0.000
Zr 0.000 2.199 0.000
Sb 0.000 0.000 6.367
Sb 0.000 0.000 10.675
H 0.000 0.000 0.000
```

Symmetry   I4/mmm (139)
Uncorrected energy   -6.3060 eV/atom
V   164.8 Å³/f.u.

---

[7]
First-principles (PBE-GGA) data for a relaxed AcPa2CrN5 crystal, as listed in Alexandria.

Geometry as extended XYZ:
```
18
Lattice="-3.326 3.326 5.706 3.326 -3.326 5.706 3.326 3.326 -5.706" Properties=species:S:1:pos:R:3 pbc="T T T"
Ac 0.000 0.000 2.853
Ac 0.000 0.000 8.560
Pa 4.503 1.177 0.000
Pa 1.177 2.149 0.000
Pa 2.149 1.177 5.706
Pa -1.177 2.149 5.706
Cr 3.326 0.000 2.853
Cr 0.000 3.326 2.853
N 0.000 0.000 0.000
N 2.372 0.954 -1.535
N 2.372 -0.954 4.171
N 2.372 0.954 1.535
N 2.372 -0.954 7.242
N 0.000 0.000 5.706
N 0.954 4.279 -1.535
N 0.954 2.372 4.171
N 0.954 4.279 1.535
N 0.954 2.372 7.242
```

Symmetry   I4/mcm (140)
V   126.2 Å³/f.u.
Formation energy (no corrections)   -30.6 kcal/mol of atoms

---

[8]
First-principles (PBE-GGA) data for a relaxed Y2TaNi2 crystal, as listed in Alexandria.

Geometry as extended XYZ:
```
10
Lattice="6.623 0.000 0.000 0.000 6.623 0.000 0.000 0.000 4.500" Properties=species:S:1:pos:R:3 pbc="T T T"
Y 1.172 2.140 0.000
Y 2.140 5.451 0.000
Y 4.483 1.172 0.000
Y 5.451 4.483 0.000
Ta 0.000 0.000 2.250
Ta 3.311 3.311 2.250
Ni 0.880 4.191 2.250
Ni 2.432 0.880 2.250
Ni 4.191 5.743 2.250
Ni 5.743 2.432 2.250
```

Symmetry   P4/mbm (127)
Formation enthalpy at 0 K   -0.15 eV per atom
Excess energy over the best structure of this formula in the dataset   0.000 eV per atom
V   98.7 Å³/f.u.

---

How do the records compare in spin magnetization? In the order shown, they have 0.00 0.00 0.00 0.00 0.00 0.00 2.51 0.00 μB per formula unit.
How do the records compare in DOS at the Fermi energy? In the order shown, they have 16.29 10.74 0.82 5.63 1.88 6.07 5.40 6.78 states/eV/f.u..